(1)
Entry from the Alexandria database: a relaxed structure of Ca43Al16Pb13 (GGA-PBEsol).

abc: 11.4772 11.4772 19.8525
angles: 73.20 73.20 60.00
Last column: nearest neighbours and their distance in Å.
Fractional coordinates of all 72 atoms:
Ca1 0.1658 0.5000 0.5000  2 Al 3.16, 2 Pb 3.26
Ca2 0.3285 0.6701 0.6730  2 Al 3.13-3.16, 2 Pb 3.29
Ca3 0.5000 0.5000 0.5000  12 Ca 3.84-3.95
Ca4 0.5000 0.1658 0.5000  2 Al 3.16, 2 Pb 3.26
Ca5 0.3183 0.6817 0.0000  2 Al 3.19, 2 Pb 3.34
Ca6 0.3183 0.0000 0.0000  2 Al 3.19, 2 Pb 3.34
Ca7 0.1563 0.8448 0.1540  2 Al 3.19-3.21, 3 Pb 3.32-3.55, 2 Ca 3.57
Ca8 0.3145 0.3145 0.0565  3 Al 3.25, 3 Pb 3.26, 1 Ca 3.58
Ca9 0.5000 0.8342 0.5000  2 Al 3.16, 2 Pb 3.26
Ca10 0.6817 0.3183 0.0000  2 Al 3.19, 2 Pb 3.34
Ca11 0.0563 0.0563 0.3129  3 Pb 3.20-3.33, 3 Al 3.23-3.25
Ca12 0.6817 0.0000 0.0000  2 Al 3.19, 2 Pb 3.34
Ca13 0.6715 0.6715 0.3270  2 Al 3.13-3.16, 2 Pb 3.29
Ca14 0.9294 0.4437 0.1831  3 Pb 3.23-3.35, 3 Al 3.23-3.26, 1 Ca 3.62
Ca15 0.2507 0.2507 0.2479  6 Pb 3.40-3.60, 8 Ca 3.58-3.67
Ca16 0.1658 0.8342 0.5000  2 Al 3.16, 2 Pb 3.26
Ca17 0.8342 0.5000 0.5000  2 Al 3.16, 2 Pb 3.26
Ca18 0.6701 0.3285 0.6730  2 Al 3.13-3.16, 2 Pb 3.29
Ca19 0.8448 0.8448 0.1540  2 Al 3.19-3.21, 3 Pb 3.32-3.55, 2 Ca 3.57
Ca20 0.8146 0.8146 0.5561  3 Al 3.24, 3 Pb 3.32
Ca21 0.5744 0.0563 0.3129  3 Pb 3.20-3.33, 3 Al 3.23-3.25
Ca22 0.0000 0.6817 0.0000  2 Al 3.19, 2 Pb 3.34
Ca23 0.8448 0.1563 0.1540  2 Al 3.19-3.21, 3 Pb 3.32-3.55, 2 Ca 3.57
Ca24 0.7493 0.7493 0.7521  6 Pb 3.40-3.60, 8 Ca 3.58-3.67
Ca25 0.1854 0.1854 0.4439  3 Al 3.24, 3 Pb 3.32
Ca26 0.1552 0.1552 0.8460  2 Al 3.19-3.21, 3 Pb 3.32-3.55, 2 Ca 3.57
Ca27 0.3299 0.6715 0.3270  2 Al 3.13-3.16, 2 Pb 3.29
Ca28 0.0563 0.5744 0.3129  3 Pb 3.20-3.33, 3 Al 3.23-3.25
Ca29 0.8342 0.1658 0.5000  2 Al 3.16, 2 Pb 3.26
Ca30 0.6855 0.6855 0.9435  3 Al 3.25, 3 Pb 3.26, 1 Ca 3.58
Ca31 0.4437 0.9294 0.1831  3 Pb 3.23-3.35, 3 Al 3.23-3.26, 1 Ca 3.62
Ca32 0.9437 0.4256 0.6871  3 Pb 3.20-3.33, 3 Al 3.23-3.25
Ca33 0.0706 0.5563 0.8169  3 Pb 3.23-3.35, 3 Al 3.23-3.26, 1 Ca 3.62
Ca34 0.5563 0.5563 0.8169  3 Pb 3.23-3.35, 3 Al 3.23-3.26, 1 Ca 3.62
Ca35 0.4256 0.9437 0.6871  3 Pb 3.20-3.33, 3 Al 3.23-3.25
Ca36 0.4437 0.4437 0.1831  3 Pb 3.23-3.35, 3 Al 3.23-3.26, 1 Ca 3.62
Ca37 0.8437 0.1552 0.8460  2 Al 3.19-3.21, 3 Pb 3.32-3.55, 2 Ca 3.57
Ca38 0.5563 0.0706 0.8169  3 Pb 3.23-3.35, 3 Al 3.23-3.26, 1 Ca 3.62
Ca39 0.6715 0.3299 0.3270  2 Al 3.13-3.16, 2 Pb 3.29
Ca40 0.3285 0.3285 0.6730  2 Al 3.13-3.16, 2 Pb 3.29
Ca41 0.9437 0.9437 0.6871  3 Pb 3.20-3.33, 3 Al 3.23-3.25
Ca42 0.1552 0.8437 0.8460  2 Al 3.19-3.21, 3 Pb 3.32-3.55, 2 Ca 3.57
Ca43 0.0000 0.3183 0.0000  2 Al 3.19, 2 Pb 3.34
Pb1 0.6396 0.0810 0.6397  9 Ca 3.26-3.60
Pb2 0.6396 0.6396 0.6397  9 Ca 3.26-3.60
Pb3 0.3604 0.3604 0.3603  9 Ca 3.26-3.60
Pb4 0.3604 0.9190 0.3603  9 Ca 3.26-3.60
Pb5 0.1438 0.5672 0.1452  9 Ca 3.20-3.40
Pb6 0.5672 0.1438 0.1452  9 Ca 3.20-3.40
Pb7 0.1438 0.1438 0.1452  9 Ca 3.20-3.40
Pb8 0.8562 0.4328 0.8548  9 Ca 3.20-3.40
Pb9 0.9190 0.3604 0.3603  9 Ca 3.26-3.60
Pb10 0.4328 0.8562 0.8548  9 Ca 3.20-3.40
Pb11 0.0810 0.6396 0.6397  9 Ca 3.26-3.60
Pb12 0.0000 0.0000 0.0000  12 Ca 3.55-3.65
Pb13 0.8562 0.8562 0.8548  9 Ca 3.20-3.40
Al1 0.7875 0.0210 0.4040  3 Al 2.68-2.70
Al2 0.4777 0.7134 0.0956  3 Al 2.67-2.71
Al3 0.5962 0.5962 0.2115  3 Al 2.67
Al4 0.2125 0.9790 0.5960  3 Al 2.68-2.70
Al5 0.2125 0.2125 0.5960  3 Al 2.68-2.70
Al6 0.2866 0.2866 0.9044  3 Al 2.67-2.71
Al7 0.0951 0.0951 0.7146  3 Al 2.70
Al8 0.7134 0.7134 0.0956  3 Al 2.67-2.71
Al9 0.7134 0.4777 0.0956  3 Al 2.67-2.71
Al10 0.0210 0.7875 0.4040  3 Al 2.68-2.70
Al11 0.5223 0.2866 0.9044  3 Al 2.67-2.71
Al12 0.4038 0.4038 0.7885  3 Al 2.67
Al13 0.9790 0.2125 0.5960  3 Al 2.68-2.70
Al14 0.9049 0.9049 0.2854  3 Al 2.70
Al15 0.2866 0.5223 0.9044  3 Al 2.67-2.71
Al16 0.7875 0.7875 0.4040  3 Al 2.68-2.70

Summary:
The value obtained for the formation energy is -0.439 eV per atom. The uncorrected energy comes out at -3.344 eV/atom. The calculated volume comes out at 29.7 Å³/atom. Its space-group type is No. 166.

(2)
Entry from the Alexandria database: a relaxed structure of Pr5SiGe2 (GGA-PBEsol).

abc: 6.6435 8.7865 8.7936
angles: 119.97 90.00 90.00
Last column: nearest neighbours and their distance in Å.
Fractional coordinates of all 16 atoms:
Pr1 0.0000 0.7505 0.7512  3 Ge 3.02-3.16
Pr2 0.0000 0.2485 0.0000  3 Ge 3.02-3.16
Pr3 0.5000 0.7541 0.0000  2 Si 3.02, 1 Ge 3.18
Pr4 0.7471 0.3328 0.6650  2 Si 3.16, 4 Ge 3.18-3.20, 2 Pr 3.28-3.36
Pr5 0.2529 0.3328 0.6650  2 Si 3.16, 4 Ge 3.18-3.20, 2 Pr 3.28-3.36
Pr6 0.5000 0.9990 0.7519  2 Si 3.01-3.16, 1 Ge 3.03
Pr7 0.2529 0.6678 0.3350  2 Si 3.16, 4 Ge 3.18-3.20, 2 Pr 3.28-3.36
Pr8 0.0000 0.9993 0.2488  3 Ge 3.02-3.16
Pr9 0.5000 0.2471 0.2481  2 Si 3.01-3.16, 1 Ge 3.03
Pr10 0.7471 0.6678 0.3350  2 Si 3.16, 4 Ge 3.18-3.20, 2 Pr 3.28-3.36
Si1 0.5000 0.9998 0.3924  7 Pr 3.01-3.16
Si2 0.5000 0.6074 0.6076  7 Pr 3.01-3.16
Ge1 0.0000 0.0001 0.6084  7 Pr 3.02-3.19
Ge2 0.0000 0.6077 0.0000  7 Pr 3.02-3.20
Ge3 0.0000 0.3917 0.3916  7 Pr 3.02-3.19
Ge4 0.5000 0.3924 0.0000  7 Pr 3.03-3.18

Summary:
The uncorrected energy comes out at -5.846 eV/atom. The calculated volume comes out at 27.8 Å³/atom. For the uncorrected formation energy, the calculation gives -0.65 eV/atom. Its space-group type is No. 38.

(3)
Entry from the Alexandria database: a relaxed structure of YTl2Pb (GGA-PBEsol).

abc: 4.4208 4.6437 6.0199
angles: 112.68 111.54 90.00
Last column: nearest neighbours and their distance in Å.
Fractional coordinates of all 4 atoms:
Y1 0.0000 0.5000 0.0000  4 Pb 3.21, 8 Tl 3.36-3.46
Tl1 0.7480 0.7477 0.4960  4 Tl 3.20-3.21, 4 Y 3.36-3.46, 4 Pb 3.39-3.43
Tl2 0.2520 0.2523 0.5040  4 Tl 3.20-3.21, 4 Y 3.36-3.46, 4 Pb 3.39-3.43
Pb1 0.5000 0.0000 0.0000  4 Y 3.21, 8 Tl 3.39-3.43

Summary:
The value obtained for the formation energy is -0.277 eV per atom. The uncorrected energy comes out at -4.297 eV/atom. The calculated volume comes out at 26.2 Å³/atom. Its space-group type is No. 71.

(4)
Entry from the Alexandria database: a relaxed structure of YTc2P (GGA-PBEsol).

abc: 3.1083 4.6683 5.0431
angles: 107.98 90.00 109.45
Last column: nearest neighbours and their distance in Å.
Fractional coordinates of all 4 atoms:
Y1 0.5000 0.0000 0.0000  6 Tc 2.85-2.95, 4 P 2.96, 2 Y 3.11
P1 0.0000 0.0000 0.5000  4 Tc 2.38
Tc1 0.7141 0.4282 0.6816  2 P 2.38, 2 Tc 2.63
Tc2 0.2859 0.5718 0.3184  2 P 2.38, 2 Tc 2.63

Summary:
The value obtained for the formation energy is -0.233 eV per atom. The uncorrected energy comes out at -9.020 eV/atom. The calculated volume comes out at 16.3 Å³/atom. Its space-group type is No. 12.

(5)
Entry from the Alexandria database: a relaxed structure of Ti2Al2Au (GGA-PBEsol).

abc: 3.5742 3.5742 7.3264
angles: 104.12 104.12 90.00
Last column: nearest neighbours and their distance in Å.
Fractional coordinates of all 5 atoms:
Au1 0.0000 0.0000 0.0000  8 Ti 2.83
Al1 0.7500 0.2500 0.5000  4 Al 2.53, 4 Ti 2.81
Al2 0.2500 0.7500 0.5000  4 Al 2.53, 4 Ti 2.81
Ti1 0.4077 0.4077 0.8155  1 Ti 2.54, 4 Al 2.81, 4 Au 2.83
Ti2 0.5923 0.5923 0.1845  1 Ti 2.54, 4 Al 2.81, 4 Au 2.83

Summary:
The value obtained for the formation energy is 0.116 eV per atom. The uncorrected energy comes out at -5.634 eV/atom. The calculated volume comes out at 17.6 Å³/atom. Its space-group type is No. 139.

(6)
Entry from the Alexandria database: a relaxed structure of Sm2CdSb4 (GGA-PBEsol).

abc: 4.2861 4.2861 10.4843
angles: 90.00 90.00 90.00
Last column: nearest neighbours and their distance in Å.
Fractional coordinates of all 7 atoms:
Sm1 0.0000 0.5000 0.2360  8 Sb 3.17-3.27, 2 Cd 3.50
Sm2 0.5000 0.0000 0.7640  8 Sb 3.17-3.27, 2 Cd 3.50
Sb1 0.0000 0.0000 0.0000  4 Sb 3.03, 4 Sm 3.27
Sb2 0.0000 0.5000 0.6759  2 Cd 2.83
Sb3 0.5000 0.0000 0.3241  2 Cd 2.83
Sb4 0.5000 0.5000 0.0000  4 Sb 3.03, 4 Sm 3.27
Cd1 0.5000 0.5000 0.5000  4 Sb 2.83

Summary:
The uncorrected energy comes out at -4.948 eV/atom. The calculated volume comes out at 27.5 Å³/atom. For the uncorrected formation energy, the calculation gives -0.72 eV/atom. Its space-group type is No. 115.

(7)
Entry from the Alexandria database: a relaxed structure of MgNiW (GGA-PBEsol).

abc: 2.7604 2.7604 6.7024
angles: 90.00 90.00 120.00
Last column: nearest neighbours and their distance in Å.
Fractional coordinates of all 3 atoms:
W1 0.3333 0.6667 0.3601  3 Ni 2.56, 6 W 2.76
Ni1 0.6667 0.3333 0.6588  3 W 2.56, 3 Mg 2.68, 6 Ni 2.76
Mg1 0.0000 0.0000 0.9811  3 Ni 2.68, 6 Mg 2.76, 3 W 3.00

Summary:
The value obtained for the formation energy is 0.311 eV per atom. The uncorrected energy comes out at -6.916 eV/atom. The calculated volume comes out at 14.7 Å³/atom. Its space-group type is No. 156.

(8)
Entry from the Alexandria database: a relaxed structure of Cu2SiAu (GGA-PBEsol).

abc: 3.7093 3.7093 4.6407
angles: 113.56 113.56 90.00
Last column: nearest neighbours and their distance in Å.
Fractional coordinates of all 4 atoms:
Si1 0.5000 0.5000 0.0000  4 Au 2.62, 8 Cu 2.67
Cu1 0.2500 0.7500 0.5000  4 Cu 2.62, 4 Au 2.67, 4 Si 2.67
Cu2 0.7500 0.2500 0.5000  4 Cu 2.62, 4 Si 2.67, 4 Au 2.67
Au1 0.0000 0.0000 0.0000  4 Si 2.62, 8 Cu 2.67

Summary:
The uncorrected energy comes out at -4.623 eV/atom. The calculated volume comes out at 13.2 Å³/atom. For the uncorrected formation energy, the calculation gives -0.04 eV/atom. Its space-group type is No. 139.

Table of total moment (μB per cell), in record order: 0.000, 0.003, 0.000, 0.000, 0.620, 0.000, 0.001, 0.000